A plane-wave DFT calculation with GGA-PBE was carried out for a relaxed InAsSeBr2 crystal.

The relative energy among the computed polymorphs comes out at 0.00 eV per formula unit. The calculation puts the spin magnetization at 0.00 Bohr magnetons per cell.

The structure belongs to space group P4/mmm (No. 123); the cell edges are 5.5166, 5.5166 and 5.2162 Å and the angles 90.00°, 90.00° and 90.00°. Symmetry generates all atoms from In at (0.0000, 0.0000, 0.0000), As at (0.5000, 0.5000, 0.5000), Se at (0.5000, 0.5000, 0.0000) and Br at (0.0000, 0.5000, 0.5000).

A plane-wave DFT calculation with GGA-PBE was carried out for a relaxed InAsSeBr2 crystal.

The relative energy among the computed polymorphs comes out at 2.27 eV per formula unit. The calculation puts the spin magnetization at 1.76 Bohr magnetons per cell.

The structure belongs to space group P4/mmm (No. 123); the cell edges are 5.2896, 5.2896 and 5.4307 Å and the angles 90.00°, 90.00° and 90.00°. Symmetry generates all atoms from In at (0.0000, 0.0000, 0.0000), As at (0.5000, 0.5000, 0.5000), Se at (0.0000, 0.0000, 0.5000) and Br at (0.0000, 0.5000, 0.0000).

A plane-wave DFT calculation with GGA-PBE was carried out for a relaxed InAsSeBr2 crystal.

The relative energy among the computed polymorphs comes out at 1.76 eV per formula unit. The calculation puts the spin magnetization at 0.00 Bohr magnetons per cell.

The structure belongs to space group P4/mmm (No. 123); the cell edges are 5.6589, 5.6589 and 5.0228 Å and the angles 90.00°, 90.00° and 90.00°. Symmetry generates all atoms from In at (0.0000, 0.0000, 0.0000), As at (0.5000, 0.5000, 0.0000), Se at (0.5000, 0.5000, 0.5000) and Br at (0.0000, 0.5000, 0.5000).

A plane-wave DFT calculation with GGA-PBE was carried out for a relaxed InAsSeBr2 crystal.

The relative energy among the computed polymorphs comes out at 2.74 eV per formula unit. The calculation puts the spin magnetization at 0.27 Bohr magnetons per cell.

The structure belongs to space group P4/mmm (No. 123); the cell edges are 5.3179, 5.3179 and 5.7099 Å and the angles 90.00°, 90.00° and 90.00°. Symmetry generates all atoms from In at (0.0000, 0.0000, 0.0000), As at (0.0000, 0.0000, 0.5000), Se at (0.5000, 0.5000, 0.5000) and Br at (0.0000, 0.5000, 0.0000).

A plane-wave DFT calculation with GGA-PBE was carried out for a relaxed InSiAsBr2 crystal.

The relative energy among the computed polymorphs comes out at 2.50 eV per formula unit. The calculation puts the spin magnetization at 0.15 Bohr magnetons per cell.

The structure belongs to space group P4/mmm (No. 123); the cell edges are 5.3473, 5.3473 and 5.4844 Å and the angles 90.00°, 90.00° and 90.00°. Symmetry generates all atoms from In at (0.0000, 0.0000, 0.0000), Si at (0.5000, 0.5000, 0.5000), As at (0.0000, 0.0000, 0.5000) and Br at (0.0000, 0.5000, 0.0000).

A plane-wave DFT calculation with GGA-PBE was carried out for a relaxed InSiAsBr2 crystal.

The relative energy among the computed polymorphs comes out at 0.00 eV per formula unit. The calculation puts the spin magnetization at 0.00 Bohr magnetons per cell.

The structure belongs to space group P4/mmm (No. 123); the cell edges are 5.2611, 5.2611 and 4.9319 Å and the angles 90.00°, 90.00° and 90.00°. Symmetry generates all atoms from In at (0.0000, 0.0000, 0.0000), Si at (0.5000, 0.5000, 0.5000), As at (0.5000, 0.5000, 0.0000) and Br at (0.0000, 0.5000, 0.5000).

A plane-wave DFT calculation with GGA-PBE was carried out for a relaxed SrInAs2Br crystal.

The relative energy among the computed polymorphs comes out at 0.00 eV per formula unit. The calculation puts the spin magnetization at 0.00 Bohr magnetons per cell.

The structure belongs to space group P4/mmm (No. 123); the cell edges are 5.1741, 5.1741 and 5.8649 Å and the angles 90.00°, 90.00° and 90.00°. Symmetry generates all atoms from Sr at (0.0000, 0.0000, 0.0000), In at (0.5000, 0.5000, 0.5000), As at (0.0000, 0.5000, 0.5000) and Br at (0.5000, 0.5000, 0.0000).

A plane-wave DFT calculation with GGA-PBE was carried out for a relaxed SrInAs2Br crystal.

The relative energy among the computed polymorphs comes out at 2.28 eV per formula unit. The calculation puts the spin magnetization at 2.30 Bohr magnetons per cell.

The structure belongs to space group P4/mmm (No. 123); the cell edges are 5.9485, 5.9485 and 5.8624 Å and the angles 90.00°, 90.00° and 90.00°. Symmetry generates all atoms from Sr at (0.0000, 0.0000, 0.0000), In at (0.5000, 0.5000, 0.5000), As at (0.0000, 0.5000, 0.0000) and Br at (0.0000, 0.0000, 0.5000).

A plane-wave DFT calculation with GGA-PBE was carried out for a relaxed InTcAs2Br crystal.

The relative energy among the computed polymorphs comes out at 0.00 eV per formula unit. The calculation puts the spin magnetization at 0.00 Bohr magnetons per cell.

The structure belongs to space group P4/mmm (No. 123); the cell edges are 4.7693, 4.7693 and 5.6799 Å and the angles 90.00°, 90.00° and 90.00°. Symmetry generates all atoms from In at (0.0000, 0.0000, 0.0000), Tc at (0.5000, 0.5000, 0.5000), As at (0.0000, 0.5000, 0.5000) and Br at (0.5000, 0.5000, 0.0000).

A plane-wave DFT calculation with GGA-PBE was carried out for a relaxed TiInAsBr2 crystal.

The relative energy among the computed polymorphs comes out at 0.00 eV per formula unit. The calculation puts the spin magnetization at 0.23 Bohr magnetons per cell.

The structure belongs to space group P4/mmm (No. 123); the cell edges are 5.2301, 5.2301 and 5.0176 Å and the angles 90.00°, 90.00° and 90.00°. Symmetry generates all atoms from Ti at (0.0000, 0.0000, 0.0000), In at (0.5000, 0.5000, 0.5000), As at (0.0000, 0.0000, 0.5000) and Br at (0.0000, 0.5000, 0.0000).

A plane-wave DFT calculation with GGA-PBE was carried out for a relaxed TlInAsBr2 crystal.

The relative energy among the computed polymorphs comes out at 0.00 eV per formula unit. The calculation puts the spin magnetization at 1.32 Bohr magnetons per cell.

The structure belongs to space group P4/mmm (No. 123); the cell edges are 5.6993, 5.6993 and 5.3526 Å and the angles 90.00°, 90.00° and 90.00°. Symmetry generates all atoms from Tl at (0.0000, 0.0000, 0.0000), In at (0.5000, 0.5000, 0.5000), As at (0.5000, 0.5000, 0.0000) and Br at (0.0000, 0.5000, 0.5000).

A plane-wave DFT calculation with GGA-PBE was carried out for a relaxed TlIn2AsBr crystal.

The calculation puts the spin magnetization at 0.00 Bohr magnetons per cell.

The structure belongs to space group P4/mmm (No. 123); the cell edges are 5.3110, 5.3110 and 6.7005 Å and the angles 90.00°, 90.00° and 90.00°. Symmetry generates all atoms from Tl at (0.0000, 0.0000, 0.0000), In at (0.0000, 0.5000, 0.5000), As at (0.0000, 0.0000, 0.5000) and Br at (0.5000, 0.5000, 0.0000).

V per entry: 158.7; 151.9; 160.8; 161.5; 156.8; 136.5; 157.0; 207.4; 129.2; 137.3; 173.9; 189.0 Å³/f.u.
Energy relative to the elements, uncorrected per entry: -182; 272; 170; 366; 564; 65; -292; 165; 168; -440; -191; -26 meV/atom
Theoretical density per entry: 4.48; 4.68; 4.42; 4.41; 4.00; 4.59; 4.57; 3.46; 5.69; 4.81; 5.29; 5.17 g cm⁻³